Entry 1:
{
  "formula": "NdThTe",
  "functional": "GGA-PBE",
  "state": "relaxed",
  "formation_energy_uncorrected_mev_per_atom": -306,
  "space_group": "P3m1",
  "dft_energy_ry_per_atom": -0.3980,
  "crystal_system": "trigonal",
  "lattice": [[3.855, 0.000, 0.000], [0.000, 5.456, 0.000], [0.000, -2.728, 4.725]],
  "species": ["Th", "Nd", "Te"],
  "fractional_positions": [[0.164, 0.000, 0.000], [0.663, 0.667, 0.333], [0.173, 0.333, 0.667]]
}

***

Entry 2:
{
  "formula": "Nd2Th3Te8",
  "functional": "GGA-PBE",
  "state": "relaxed",
  "formation_energy_uncorrected_mev_per_atom": -1184,
  "space_group": "C2/m",
  "dft_energy_ry_per_atom": -0.4089,
  "crystal_system": "monoclinic",
  "lattice": [[7.506, 0.000, 0.339], [0.000, 8.870, 0.000], [-2.658, -4.435, 7.512]],
  "species": ["Th", "Th", "Th", "Te", "Te", "Te", "Te", "Te", "Te", "Te", "Te", "Nd", "Nd"],
  "fractional_positions": [[0.000, 0.249, 0.000], [0.500, 0.000, 0.000], [0.000, 0.751, 0.000], [0.091, 0.873, 0.746], [0.416, 0.869, 0.245], [0.909, 0.127, 0.254], [0.416, 0.376, 0.245], [0.897, 0.613, 0.226], [0.584, 0.624, 0.755], [0.584, 0.131, 0.755], [0.103, 0.387, 0.774], [0.326, 0.246, 0.491], [0.674, 0.754, 0.509]]
}

***

Entry 3:
{
  "formula": "NdThTe2",
  "functional": "GGA-PBE",
  "state": "relaxed",
  "formation_energy_uncorrected_mev_per_atom": -1207,
  "space_group": "R-3m",
  "dft_energy_ry_per_atom": -0.4281,
  "crystal_system": "trigonal",
  "lattice": [[4.423, 0.000, 0.000], [2.211, 3.830, 0.000], [2.211, 1.277, 7.508]],
  "species": ["Te", "Te", "Nd", "Th"],
  "fractional_positions": [[0.751, 0.751, 0.748], [0.249, 0.249, 0.252], [0.500, 0.500, 0.500], [0.000, 0.000, 0.000]]
}

***

Entry 4:
{
  "formula": "NdThTe2",
  "functional": "GGA-PBE",
  "state": "relaxed",
  "formation_energy_uncorrected_mev_per_atom": -1201,
  "space_group": "I4_1/amd",
  "dft_energy_ry_per_atom": -0.4277,
  "crystal_system": "tetragonal",
  "lattice": [[6.342, 0.000, 0.000], [0.000, 6.342, 0.000], [-3.171, -3.171, 6.329]],
  "species": ["Th", "Th", "Te", "Te", "Te", "Te", "Nd", "Nd"],
  "fractional_positions": [[0.750, 0.250, 0.500], [0.000, 0.000, 0.000], [0.500, 0.000, 0.999], [0.000, 0.500, 0.001], [0.250, 0.250, 0.501], [0.750, 0.750, 0.499], [0.500, 0.500, 0.000], [0.250, 0.750, 0.500]]
}

***

Entry 5:
{
  "formula": "NdThTe6",
  "functional": "GGA-PBE",
  "state": "relaxed",
  "formation_energy_uncorrected_mev_per_atom": -984,
  "space_group": "Amm2",
  "dft_energy_ry_per_atom": -0.3575,
  "crystal_system": "orthorhombic",
  "lattice": [[-2.483, 3.358, 1.552], [-2.753, -2.927, 1.927], [8.708, -1.333, 10.417]],
  "species": ["Te", "Te", "Te", "Te", "Te", "Te", "Th", "Nd"],
  "fractional_positions": [[0.580, 0.500, 0.160], [0.291, 0.500, 0.583], [0.706, 0.000, 0.412], [0.421, 0.000, 0.842], [0.080, 0.000, 0.160], [0.921, 0.500, 0.843], [0.170, 0.500, 0.340], [0.830, 0.000, 0.661]]
}

***

Entry 6:
{
  "formula": "Nd2ThTe5",
  "functional": "GGA-PBE",
  "state": "relaxed",
  "formation_energy_uncorrected_mev_per_atom": -1272,
  "space_group": "Pbam",
  "dft_energy_ry_per_atom": -0.3936,
  "crystal_system": "orthorhombic",
  "lattice": [[4.486, 0.000, 0.000], [0.000, 8.694, 0.000], [0.000, 0.000, 13.927]],
  "species": ["Te", "Te", "Te", "Te", "Te", "Te", "Te", "Te", "Te", "Te", "Th", "Th", "Nd", "Nd", "Nd", "Nd"],
  "fractional_positions": [[0.000, 0.183, 0.803], [0.500, 0.172, 0.109], [0.000, 0.500, 0.000], [0.000, 0.317, 0.303], [0.000, 0.817, 0.197], [0.000, 0.000, 0.500], [0.500, 0.328, 0.609], [0.500, 0.828, 0.891], [0.000, 0.683, 0.697], [0.500, 0.672, 0.391], [0.000, 0.000, 0.000], [0.000, 0.500, 0.500], [0.500, 0.027, 0.325], [0.500, 0.473, 0.825], [0.500, 0.527, 0.175], [0.500, 0.973, 0.675]]
}

***

Entry 7:
{
  "formula": "NdTh2Te4",
  "functional": "GGA-PBE",
  "state": "relaxed",
  "formation_energy_uncorrected_mev_per_atom": -1142,
  "space_group": "I4/mmm",
  "dft_energy_ry_per_atom": -0.4217,
  "crystal_system": "tetragonal",
  "lattice": [[-2.761, -4.385, 4.119], [4.268, -3.122, -3.982], [3.186, 4.610, 3.524]],
  "species": ["Te", "Te", "Te", "Te", "Nd", "Th", "Th"],
  "fractional_positions": [[0.000, 0.000, 0.500], [0.500, 0.500, 0.500], [0.000, 0.500, 0.000], [0.500, 0.000, 0.000], [0.000, 0.000, 0.000], [0.500, 0.000, 0.500], [0.500, 0.500, 0.000]]
}

***

Entry 8:
{
  "formula": "NdThTe2",
  "functional": "GGA-PBE",
  "state": "relaxed",
  "formation_energy_uncorrected_mev_per_atom": -1214,
  "space_group": "R3m",
  "dft_energy_ry_per_atom": -0.4287,
  "crystal_system": "trigonal",
  "lattice": [[4.235, 0.000, 0.000], [2.117, 3.667, 0.000], [2.117, 1.222, 8.212]],
  "species": ["Te", "Te", "Nd", "Th"],
  "fractional_positions": [[0.250, 0.250, 0.249], [0.083, 0.083, 0.751], [0.668, 0.668, 0.996], [0.499, 0.499, 0.504]]
}